*1*
Entry from Alexandria via LeMat-Bulk: a relaxed structure of YTaSeN2 (PBE).

theoretical density: 7.35 g/cm³
density of states at the Fermi level: 1.8 states/eV per cell

abc: 4.083 4.083 5.110
angles: 90.00 90.00 90.00
Fractional positions:
Y1 0.000 0.000 0.000
Ta1 0.500 0.500 0.500
Se1 0.500 0.500 0.000
N1 0.000 0.500 0.500
N2 0.500 0.000 0.500

*2*
Entry from Alexandria via LeMat-Bulk: a relaxed structure of YTaSeN2 (PBE).

theoretical density: 6.48 g/cm³
density of states at the Fermi level: 8.0 states/eV per cell

abc: 4.232 4.232 5.389
angles: 90.00 90.00 90.00
Fractional positions:
Y1 0.000 0.000 0.000
Ta1 0.500 0.500 0.500
Se1 0.000 0.000 0.500
N1 0.000 0.500 0.000
N2 0.500 0.000 0.000

Short version: *1* is the most stable of them.

*1*
Entry from Alexandria via LeMat-Bulk: a relaxed structure of TaZnSeN2 (PBE).

theoretical density: 8.22 g/cm³
density of states at the Fermi level: 4.5 states/eV per cell

abc: 3.827 3.827 4.874
angles: 90.00 90.00 90.00
Fractional positions:
Ta1 0.000 0.000 0.000
Zn1 0.500 0.500 0.500
Se1 0.500 0.500 0.000
N1 0.000 0.500 0.500
N2 0.500 0.000 0.500

*2*
Entry from Alexandria via LeMat-Bulk: a relaxed structure of TaZnSeN2 (PBE).

theoretical density: 6.75 g/cm³
density of states at the Fermi level: 3.8 states/eV per cell

abc: 3.963 3.963 5.536
angles: 90.00 90.00 90.00
Fractional positions:
Ta1 0.000 0.000 0.000
Zn1 0.500 0.500 0.500
Se1 0.000 0.000 0.500
N1 0.000 0.500 0.000
N2 0.500 0.000 0.000

Short version: *2* is the most stable of them.

*1*
Entry from Alexandria via LeMat-Bulk: a relaxed structure of TbSeN (PBE).

theoretical density: 7.18 g/cm³
density of states at the Fermi level: 4.5 states/eV per cell

abc: 18.952 3.529 3.483
angles: 90.00 90.00 90.00
Fractional positions:
Tb1 0.186 0.250 0.241
Tb2 0.314 0.750 0.741
Tb3 0.686 0.250 0.259
Tb4 0.814 0.750 0.759
Se1 0.019 0.250 0.750
Se2 0.481 0.750 0.250
Se3 0.519 0.250 0.750
Se4 0.981 0.750 0.250
N1 0.195 0.750 0.741
N2 0.305 0.250 0.241
N3 0.695 0.750 0.759
N4 0.805 0.250 0.259

*2*
Entry from Alexandria via LeMat-Bulk: a relaxed structure of TbSeN (PBE).

theoretical density: 6.04 g/cm³
density of states at the Fermi level: 4.5 states/eV per cell

abc: 8.580 4.037 8.224
angles: 90.00 103.68 90.00
Fractional positions:
Tb1 0.166 0.244 0.417
Tb2 0.166 0.256 0.917
Tb3 0.834 0.744 0.083
Tb4 0.834 0.756 0.583
Se1 0.183 0.750 0.171
Se2 0.183 0.750 0.671
Se3 0.817 0.250 0.329
Se4 0.817 0.250 0.829
N1 0.440 0.070 0.485
N2 0.440 0.430 0.985
N3 0.560 0.570 0.015
N4 0.560 0.930 0.515

Short version: *2* is the most stable of them.

*1*
Entry from Alexandria via LeMat-Bulk: a relaxed structure of Tb3Se2N (PBE).

theoretical density: 8.32 g/cm³
density of states at the Fermi level: 4.0 states/eV per cell

abc: 3.914 3.914 16.914
angles: 90.00 90.00 90.00
Fractional positions:
Tb1 0.000 0.000 0.000
Tb2 0.000 0.000 0.364
Tb3 0.000 0.000 0.636
Tb4 0.500 0.500 0.136
Tb5 0.500 0.500 0.500
Tb6 0.500 0.500 0.864
Se1 0.000 0.000 0.172
Se2 0.000 0.000 0.828
Se3 0.500 0.500 0.328
Se4 0.500 0.500 0.672
N1 0.000 0.000 0.500
N2 0.500 0.500 0.000

*2*
Entry from Alexandria via LeMat-Bulk: a relaxed structure of Tb3Se2N (PBE).

theoretical density: 7.01 g/cm³
density of states at the Fermi level: 6.0 states/eV per cell

abc: 7.945 7.945 5.591
angles: 90.00 90.00 60.47
Fractional positions:
Tb1 0.122 0.878 0.750
Tb2 0.134 0.574 0.250
Tb3 0.426 0.866 0.250
Tb4 0.574 0.134 0.750
Tb5 0.866 0.426 0.750
Tb6 0.878 0.122 0.250
Se1 0.197 0.489 0.750
Se2 0.489 0.197 0.250
Se3 0.511 0.803 0.750
Se4 0.803 0.511 0.250
N1 0.158 0.842 0.250
N2 0.842 0.158 0.750

Short version: *1* is the most stable of them.

*1*
Entry from Alexandria via LeMat-Bulk: a relaxed structure of Tb2SeN (PBE).

theoretical density: 8.47 g/cm³
density of states at the Fermi level: 1.9 states/eV per cell

abc: 3.832 3.832 10.970
angles: 90.00 90.00 90.00
Fractional positions:
Tb1 0.250 0.250 0.101
Tb2 0.250 0.250 0.683
Tb3 0.750 0.750 0.317
Tb4 0.750 0.750 0.899
Se1 0.250 0.250 0.378
Se2 0.750 0.750 0.622
N1 0.250 0.250 0.891
N2 0.750 0.750 0.109

*2*
Entry from Alexandria via LeMat-Bulk: a relaxed structure of Tb2SeN (PBE).

theoretical density: 8.78 g/cm³
density of states at the Fermi level: 7.2 states/eV per cell

abc: 3.669 3.669 19.994
angles: 90.00 90.00 120.00
Fractional positions:
Tb1 0.000 0.000 0.000
Tb2 0.000 0.000 0.201
Tb3 0.333 0.667 0.667
Tb4 0.333 0.667 0.868
Tb5 0.667 0.333 0.333
Tb6 0.667 0.333 0.535
Se1 0.000 0.000 0.434
Se2 0.333 0.667 0.101
Se3 0.667 0.333 0.768
N1 0.000 0.000 0.605
N2 0.333 0.667 0.271
N3 0.667 0.333 0.938

Short version: *2* is the most stable of them.

*1*
Entry from Alexandria via LeMat-Bulk: a relaxed structure of TcSe3N (PBE).

theoretical density: 7.36 g/cm³
density of states at the Fermi level: 3.6 states/eV per cell

abc: 4.286 4.286 4.286
angles: 90.00 90.00 90.00
Fractional positions:
Tc1 0.000 0.000 0.000
Se1 0.000 0.500 0.500
Se2 0.500 0.000 0.500
Se3 0.500 0.500 0.000
N1 0.500 0.500 0.500

*2*
Entry from Alexandria via LeMat-Bulk: a relaxed structure of TcSe3N (PBE).

theoretical density: 4.93 g/cm³
density of states at the Fermi level: 5.1 states/eV per cell

abc: 4.897 4.897 4.897
angles: 90.00 90.00 90.00
Fractional positions:
Tc1 0.000 0.000 0.000
Se1 0.000 0.000 0.500
Se2 0.000 0.500 0.000
Se3 0.500 0.000 0.000
N1 0.500 0.500 0.500

Short version: *1* is the most stable of them.

*1*
Entry from Alexandria via LeMat-Bulk: a relaxed structure of TcTeSeN2 (PBE).

theoretical density: 6.19 g/cm³
density of states at the Fermi level: 2.9 states/eV per cell

abc: 3.877 3.877 5.938
angles: 90.00 90.00 90.00
Fractional positions:
Tc1 0.000 0.000 0.000
Te1 0.000 0.000 0.500
Se1 0.500 0.500 0.500
N1 0.000 0.500 0.000
N2 0.500 0.000 0.000

*2*
Entry from Alexandria via LeMat-Bulk: a relaxed structure of TcTeSeN2 (PBE).

theoretical density: 6.43 g/cm³
density of states at the Fermi level: 3.2 states/eV per cell

abc: 3.921 3.921 5.588
angles: 90.00 90.00 90.00
Fractional positions:
Tc1 0.000 0.000 0.000
Te1 0.500 0.500 0.500
Se1 0.000 0.000 0.500
N1 0.000 0.500 0.000
N2 0.500 0.000 0.000

*3*
Entry from Alexandria via LeMat-Bulk: a relaxed structure of TcTeSeN2 (PBE).

theoretical density: 5.46 g/cm³
density of states at the Fermi level: 4.5 states/eV per cell

abc: 3.788 3.788 7.049
angles: 90.00 90.00 90.00
Fractional positions:
Tc1 0.000 0.000 0.000
Te1 0.500 0.500 0.000
Se1 0.500 0.500 0.500
N1 0.000 0.500 0.500
N2 0.500 0.000 0.500

Short version: *1* is the most stable of them.

*1*
Entry from Alexandria via LeMat-Bulk: a relaxed structure of TlTcSe2N (PBE).

theoretical density: 7.72 g/cm³
density of states at the Fermi level: 2.9 states/eV per cell

abc: 5.222 5.222 3.742
angles: 90.00 90.00 90.00
Fractional positions:
Tl1 0.000 0.000 0.000
Tc1 0.500 0.500 0.500
Se1 0.000 0.500 0.500
Se2 0.500 0.000 0.500
N1 0.500 0.500 0.000

*2*
Entry from Alexandria via LeMat-Bulk: a relaxed structure of TlTcSe2N (PBE).

theoretical density: 6.22 g/cm³
density of states at the Fermi level: 3.2 states/eV per cell

abc: 5.478 5.478 4.219
angles: 90.00 90.00 90.00
Fractional positions:
Tl1 0.000 0.000 0.000
Tc1 0.500 0.500 0.500
Se1 0.000 0.500 0.000
Se2 0.500 0.000 0.000
N1 0.000 0.000 0.500

Short version: *1* is the most stable of them.

*1*
Entry from Alexandria via LeMat-Bulk: a relaxed structure of YTcSeN2 (PBE).

theoretical density: 6.07 g/cm³
density of states at the Fermi level: 3.1 states/eV per cell

abc: 3.942 3.942 5.170
angles: 90.00 90.00 90.00
Fractional positions:
Y1 0.000 0.000 0.000
Tc1 0.500 0.500 0.500
Se1 0.500 0.500 0.000
N1 0.000 0.500 0.500
N2 0.500 0.000 0.500

*2*
Entry from Alexandria via LeMat-Bulk: a relaxed structure of YTcSeN2 (PBE).

theoretical density: 4.69 g/cm³
density of states at the Fermi level: 4.9 states/eV per cell

abc: 4.228 4.228 5.818
angles: 90.00 90.00 90.00
Fractional positions:
Y1 0.000 0.000 0.000
Tc1 0.500 0.500 0.500
Se1 0.000 0.000 0.500
N1 0.000 0.500 0.000
N2 0.500 0.000 0.000

Short version: *1* is the most stable of them.

*1*
Entry from Alexandria via LeMat-Bulk: a relaxed structure of ZnTcSeN2 (PBE).

theoretical density: 6.16 g/cm³
density of states at the Fermi level: 4.1 states/eV per cell

abc: 3.776 3.776 5.108
angles: 90.00 90.00 90.00
Fractional positions:
Zn1 0.000 0.000 0.000
Tc1 0.500 0.500 0.500
Se1 0.000 0.000 0.500
N1 0.000 0.500 0.000
N2 0.500 0.000 0.000

*2*
Entry from Alexandria via LeMat-Bulk: a relaxed structure of ZnTcSeN2 (PBE).

theoretical density: 5.60 g/cm³
density of states at the Fermi level: 4.4 states/eV per cell

abc: 3.809 3.809 5.527
angles: 90.00 90.00 90.00
Fractional positions:
Zn1 0.000 0.000 0.000
Tc1 0.500 0.500 0.500
Se1 0.500 0.500 0.000
N1 0.000 0.500 0.500
N2 0.500 0.000 0.500

Short version: *2* is the most stable of them.

*1*
Entry from Alexandria via LeMat-Bulk: a relaxed structure of ZrTcSeN2 (PBE).

theoretical density: 6.41 g/cm³
density of states at the Fermi level: 3.1 states/eV per cell

abc: 3.889 3.889 5.076
angles: 90.00 90.00 90.00
Fractional positions:
Zr1 0.000 0.000 0.000
Tc1 0.500 0.500 0.500
Se1 0.500 0.500 0.000
N1 0.000 0.500 0.500
N2 0.500 0.000 0.500

*2*
Entry from Alexandria via LeMat-Bulk: a relaxed structure of ZrTcSeN2 (PBE).

theoretical density: 5.19 g/cm³
density of states at the Fermi level: 1.9 states/eV per cell

abc: 4.102 4.102 5.630
angles: 90.00 90.00 90.00
Fractional positions:
Zr1 0.000 0.000 0.000
Tc1 0.500 0.500 0.500
Se1 0.000 0.000 0.500
N1 0.000 0.500 0.000
N2 0.500 0.000 0.000

Short version: *1* is the most stable of them.

*1*
Entry from Alexandria via LeMat-Bulk: a relaxed structure of Te2SeN (PBE).

theoretical density: 6.25 g/cm³
density of states at the Fermi level: 8.4 states/eV per cell

abc: 6.837 6.837 7.920
angles: 90.00 90.00 90.00
Fractional positions:
Te1 0.177 0.250 0.125
Te2 0.250 0.677 0.375
Te3 0.250 0.823 0.875
Te4 0.323 0.250 0.625
Te5 0.677 0.750 0.625
Te6 0.750 0.177 0.875
Te7 0.750 0.323 0.375
Te8 0.823 0.750 0.125
Se1 0.000 0.000 0.500
Se2 0.000 0.500 0.750
Se3 0.500 0.000 0.250
Se4 0.500 0.500 0.000
N1 0.000 0.000 0.000
N2 0.000 0.500 0.250
N3 0.500 0.000 0.750
N4 0.500 0.500 0.500

*2*
Entry from Alexandria via LeMat-Bulk: a relaxed structure of Te2SeN (PBE).

theoretical density: 5.19 g/cm³
density of states at the Fermi level: 7.7 states/eV per cell

abc: 4.022 4.022 23.872
angles: 90.00 90.00 120.00
Fractional positions:
Te1 0.000 0.000 0.081
Te2 0.000 0.000 0.919
Te3 0.333 0.667 0.585
Te4 0.333 0.667 0.748
Te5 0.667 0.333 0.252
Te6 0.667 0.333 0.415
Se1 0.000 0.000 0.500
Se2 0.333 0.667 0.167
Se3 0.667 0.333 0.833
N1 0.000 0.000 0.000
N2 0.333 0.667 0.667
N3 0.667 0.333 0.333

*3*
Entry from Alexandria via LeMat-Bulk: a relaxed structure of Te2SeN (PBE).

theoretical density: 6.83 g/cm³
density of states at the Fermi level: 8.2 states/eV per cell

abc: 3.243 3.243 27.868
angles: 90.00 90.00 120.00
Fractional positions:
Te1 0.000 0.000 0.107
Te2 0.000 0.000 0.893
Te3 0.333 0.667 0.560
Te4 0.333 0.667 0.774
Te5 0.667 0.333 0.226
Te6 0.667 0.333 0.440
Se1 0.000 0.000 0.000
Se2 0.333 0.667 0.667
Se3 0.667 0.333 0.333
N1 0.000 0.000 0.500
N2 0.333 0.667 0.167
N3 0.667 0.333 0.833

Short version: *2* is the most stable of them.